# 1
First-principles (PBE) data for a geometry-optimized Pt4Br3 structure, as listed in Alexandria.

Summary:
energy relative to the elements, uncorrected	12.15	kcal/mol of atoms
relative energy among the computed polymorphs	0.0	meV/atom
DOS(E_F)	1.462	states/eV per atom
mass density	11.80	g cm⁻³
volume	287.1	Å³ per cell

Unit cell a=3.2280 b=3.2280 c=27.5509 alpha=90.00 beta=90.00 gamma=90.00
With the nearest neighbours (Å) after each atom.
Space group I4/mmm (No. 139)
Inequivalent atoms, fractional coordinates:
1 Pt 0.0000 0.0000 0.0686 (multiplicity 4)  4 Pt 2.75, 4 Br 2.96
2 Pt 0.0000 0.0000 0.3759 (multiplicity 4)  4 Pt 2.75, 4 Br 2.87
3 Br 0.0000 0.0000 0.1871 (multiplicity 4)  4 Pt 2.87
4 Br 0.0000 0.0000 0.5000 (multiplicity 2)  8 Pt 2.96, 4 Br 3.23


# 2
First-principles (PBE) data for a geometry-optimized PtBr structure, as listed in Alexandria.

Summary:
energy relative to the elements, uncorrected	17.70	kcal/mol of atoms
DOS(E_F)	1.270	states/eV per atom
mass density	11.31	g cm⁻³
volume	40.4	Å³ per cell

Unit cell a=3.4569 b=3.4569 c=3.9015 alpha=90.00 beta=90.00 gamma=120.00
With the nearest neighbours (Å) after each atom.
Space group P-6m2 (No. 187)
Inequivalent atoms, fractional coordinates:
1 Pt 0.0000 0.0000 0.0000 (multiplicity 1)  6 Br 2.79
2 Br 0.3333 0.6667 0.5000 (multiplicity 1)  6 Pt 2.79


# 3
First-principles (PBE) data for a geometry-optimized Pu2PtBr2 structure, as listed in Alexandria.

Summary:
energy relative to the elements, uncorrected	-25.42	kcal/mol of atoms
DOS(E_F)	4.510	states/eV per atom
mass density	9.13	g cm⁻³
volume	459.7	Å³ per cell

Unit cell a=4.0828 b=4.0828 c=31.8464 alpha=90.00 beta=90.00 gamma=120.00
With the nearest neighbours (Å) after each atom.
Space group R-3m (No. 166, hexagonal axes)
Inequivalent atoms, fractional coordinates:
1 Pu 0.0000 0.0000 0.1140 (multiplicity 6)  3 Pt 2.89, 3 Br 3.02
2 Pt 0.0000 0.0000 0.5000 (multiplicity 3)  6 Pu 2.89
3 Br 0.0000 0.0000 0.2785 (multiplicity 6)  3 Pu 3.02


# 4
First-principles (PBE) data for a geometry-optimized Pu2PtBr structure, as listed in Alexandria.

Summary:
energy relative to the elements, uncorrected	-19.22	kcal/mol of atoms
relative energy among the computed polymorphs	0.0	meV/atom
DOS(E_F)	5.092	states/eV per atom
mass density	11.42	g cm⁻³
volume	332.7	Å³ per cell

Unit cell a=4.0690 b=4.0690 c=23.2059 alpha=90.00 beta=90.00 gamma=120.00
With the nearest neighbours (Å) after each atom.
Space group R-3m (No. 166, hexagonal axes)
Inequivalent atoms, fractional coordinates:
1 Pu 0.0000 0.0000 0.2356 (multiplicity 6)  3 Pt 2.84
2 Pt 0.0000 0.0000 0.5000 (multiplicity 3)  6 Pu 2.84
3 Br 0.0000 0.0000 0.0000 (multiplicity 3)  6 Pu 3.27


# 5
First-principles (PBE) data for a geometry-optimized Pu2PtBr structure, as listed in Alexandria.

Summary:
energy relative to the elements, uncorrected	-18.38	kcal/mol of atoms
relative energy among the computed polymorphs	36.3	meV/atom
DOS(E_F)	5.709	states/eV per atom
mass density	11.53	g cm⁻³
volume	329.7	Å³ per cell

Unit cell a=3.9849 b=3.9849 c=23.9756 alpha=90.00 beta=90.00 gamma=120.00
With the nearest neighbours (Å) after each atom.
Space group R3m (No. 160, hexagonal axes)
Inequivalent atoms, fractional coordinates:
1 Pu 0.0000 0.0000 0.0000 (multiplicity 3)  3 Pt 2.85
2 Pu 0.0000 0.0000 0.1931 (multiplicity 3)  3 Pt 2.85
3 Pt 0.0000 0.0000 0.5967 (multiplicity 3)  6 Pu 2.85
4 Br 0.0000 0.0000 0.4292 (multiplicity 3)  6 Pu 3.25-3.28


# 6
First-principles (PBE) data for a geometry-optimized Pu2PtBr structure, as listed in Alexandria.

Summary:
energy relative to the elements, uncorrected	-18.57	kcal/mol of atoms
relative energy among the computed polymorphs	28.2	meV/atom
DOS(E_F)	4.308	states/eV per atom
mass density	13.14	g cm⁻³
volume	96.4	Å³ per cell

Unit cell a=3.4873 b=3.4873 c=7.9299 alpha=90.00 beta=90.00 gamma=90.00
With the nearest neighbours (Å) after each atom.
Space group P4/mmm (No. 123)
Inequivalent atoms, fractional coordinates:
1 Pu 0.0000 0.0000 0.2184 (multiplicity 2)  4 Pt 3.01, 4 Br 3.33
2 Pt 0.5000 0.5000 0.0000 (multiplicity 1)  8 Pu 3.01
3 Br 0.5000 0.5000 0.5000 (multiplicity 1)  8 Pu 3.33, 4 Br 3.49